DFT (PBE) results for Tl2InTe4Pb after structural relaxation.

Properties
Crystal system = tetragonal
Total magnetization = 0.000 μB per formula unit
Formation energy from raw total energies = -0.282 eV/atom

Lattice parameters (Å, degrees): 7.4505 7.1411 7.1411 74.21 58.56 58.56
With the nearest neighbours (Å) after each atom.
Positions (direct):
Te (0.5396, 0.0000, 0.3790)  1 In 2.87, 1 Pb 3.07
Te (0.0814, 0.3790, 0.0000)  1 In 2.87, 1 Pb 3.07
Te (0.4604, 0.6210, 0.0000)  1 In 2.87, 1 Pb 3.07
Te (0.9186, 0.0000, 0.6210)  1 In 2.87, 1 Pb 3.07
Tl (0.0000, 0.5000, 0.5000)  8 Te 3.57-3.73, 2 Tl 3.73
Tl (0.5000, 0.5000, 0.5000)  8 Te 3.57-3.73, 2 Tl 3.73
Pb (0.0000, 0.0000, 0.0000)  4 Te 3.07
In (0.5000, 0.0000, 0.0000)  4 Te 2.87